Entry 1:
## Pm2Mg2Pb3 (PBE-GGA)

Data for a relaxed Pm2Mg2Pb3 crystal.

Values from the calculation:
Its energy relative to the elements is -354 meV per atom. The total energy is -26.3 eV/f.u.

Structure (CIF):
```
data_Pm2Mg2Pb3
_chemical_formula_sum 'Pm4 Mg4 Pb6'
_cell_length_a 4.7933
_cell_length_b 8.6990
_cell_length_c 10.5469
_cell_angle_alpha 82.96
_cell_angle_beta 76.87
_cell_angle_gamma 74.01
_symmetry_space_group_name_H-M 'P 1'
_symmetry_Int_Tables_number 1
loop_
_symmetry_equiv_pos_as_xyz
'x,y,z'
loop_
_atom_site_label
_atom_site_fract_x
_atom_site_fract_y
_atom_site_fract_z
_atom_site_occupancy
Mg1 0.5963 0.4797 0.3277 1
Mg2 0.4037 0.5203 0.6723 1
Mg3 0.9501 0.7816 0.3181 1
Mg4 0.0499 0.2184 0.6819 1
Pm1 0.2653 0.1393 0.3301 1
Pm2 0.5756 0.7746 0.0742 1
Pm3 0.4244 0.2254 0.9258 1
Pm4 0.7347 0.8607 0.6699 1
Pb1 0.1785 0.4969 0.1462 1
Pb2 0.3701 0.7866 0.4733 1
Pb3 0.6299 0.2134 0.5267 1
Pb4 0.1048 0.9204 0.8701 1
Pb5 0.8215 0.5031 0.8538 1
Pb6 0.8952 0.0796 0.1299 1
```

Entry 2:
## Mg7Ag2 (PBE-GGA)

Data for a relaxed Mg7Ag2 crystal.

Values from the calculation:
Its energy relative to the elements is -90 meV per atom. The total energy is -17.7 eV/f.u.

Structure (CIF):
```
data_Mg7Ag2
_chemical_formula_sum 'Mg7 Ag2'
_cell_length_a 4.9018
_cell_length_b 4.9018
_cell_length_c 8.9091
_cell_angle_alpha 90.00
_cell_angle_beta 90.00
_cell_angle_gamma 120.00
_symmetry_space_group_name_H-M 'P 1'
_symmetry_Int_Tables_number 1
loop_
_symmetry_equiv_pos_as_xyz
'x,y,z'
loop_
_atom_site_label
_atom_site_fract_x
_atom_site_fract_y
_atom_site_fract_z
_atom_site_occupancy
Mg1 0.3333 0.6667 0.5510 1
Mg2 0.0000 0.0000 0.6678 1
Mg3 0.0000 0.0000 0.3322 1
Mg4 0.6667 0.3333 0.4490 1
Mg5 0.3333 0.6667 0.1896 1
Mg6 0.6667 0.3333 0.8104 1
Mg7 0.0000 0.0000 0.0000 1
Ag1 0.6667 0.3333 0.1343 1
Ag2 0.3333 0.6667 0.8657 1
```

Repeat the second record exactly.
## Mg7Ag2 (PBE-GGA)

Data for a relaxed Mg7Ag2 crystal.

Values from the calculation:
Its energy relative to the elements is -90 meV per atom. The total energy is -17.7 eV/f.u.

Structure (CIF):
```
data_Mg7Ag2
_chemical_formula_sum 'Mg7 Ag2'
_cell_length_a 4.9018
_cell_length_b 4.9018
_cell_length_c 8.9091
_cell_angle_alpha 90.00
_cell_angle_beta 90.00
_cell_angle_gamma 120.00
_symmetry_space_group_name_H-M 'P 1'
_symmetry_Int_Tables_number 1
loop_
_symmetry_equiv_pos_as_xyz
'x,y,z'
loop_
_atom_site_label
_atom_site_fract_x
_atom_site_fract_y
_atom_site_fract_z
_atom_site_occupancy
Mg1 0.3333 0.6667 0.5510 1
Mg2 0.0000 0.0000 0.6678 1
Mg3 0.0000 0.0000 0.3322 1
Mg4 0.6667 0.3333 0.4490 1
Mg5 0.3333 0.6667 0.1896 1
Mg6 0.6667 0.3333 0.8104 1
Mg7 0.0000 0.0000 0.0000 1
Ag1 0.6667 0.3333 0.1343 1
Ag2 0.3333 0.6667 0.8657 1
```

- energy relative to the elements of number 1 (Pm2Mg2Pb3)?
  -354 meV per atom

- Number 1 is which compound?
  Pm2Mg2Pb3

Copy entry 2 word for word.
## Mg7Ag2 (PBE-GGA)

Data for a relaxed Mg7Ag2 crystal.

Values from the calculation:
Its energy relative to the elements is -90 meV per atom. The total energy is -17.7 eV/f.u.

Structure (CIF):
```
data_Mg7Ag2
_chemical_formula_sum 'Mg7 Ag2'
_cell_length_a 4.9018
_cell_length_b 4.9018
_cell_length_c 8.9091
_cell_angle_alpha 90.00
_cell_angle_beta 90.00
_cell_angle_gamma 120.00
_symmetry_space_group_name_H-M 'P 1'
_symmetry_Int_Tables_number 1
loop_
_symmetry_equiv_pos_as_xyz
'x,y,z'
loop_
_atom_site_label
_atom_site_fract_x
_atom_site_fract_y
_atom_site_fract_z
_atom_site_occupancy
Mg1 0.3333 0.6667 0.5510 1
Mg2 0.0000 0.0000 0.6678 1
Mg3 0.0000 0.0000 0.3322 1
Mg4 0.6667 0.3333 0.4490 1
Mg5 0.3333 0.6667 0.1896 1
Mg6 0.6667 0.3333 0.8104 1
Mg7 0.0000 0.0000 0.0000 1
Ag1 0.6667 0.3333 0.1343 1
Ag2 0.3333 0.6667 0.8657 1
```